#i
Rb3Pa2Te7: relaxed, PBE.

abc: 5.9433 5.0685 17.8483
angles: 90.00 93.84 90.00
Last column: nearest neighbours and their distance in Å.
Element x y z (fractional)
Rb  0.0000  0.0000  0.0000  10 Te 3.91-4.34
Rb  0.2318  0.5000  0.4058  8 Te 3.91-4.15
Rb  0.7682  0.5000  0.5942  8 Te 3.91-4.15
Pa  0.3014  0.0000  0.7518  5 Te 2.88-3.00
Pa  0.6986  0.0000  0.2482  5 Te 2.88-3.00
Te  0.1987  0.0000  0.2384  2 Pa 2.96-2.99
Te  0.2675  0.0000  0.5900  1 Pa 2.88
Te  0.2941  0.5000  0.8417  2 Pa 3.00, 1 Te 3.00
Te  0.5000  0.5000  0.0000  2 Te 3.00
Te  0.7059  0.5000  0.1583  2 Pa 3.00, 1 Te 3.00
Te  0.7325  0.0000  0.4100  1 Pa 2.88
Te  0.8013  0.0000  0.7616  2 Pa 2.96-2.99

Results
theoretical density	4.99	g/cm³
N(E_F)	0.51	states/eV per atom

#ii
Rb3Pa2Te7: relaxed, PBE.

abc: 5.9594 5.9748 14.2470
angles: 77.91 89.94 89.85
Last column: nearest neighbours and their distance in Å.
Element x y z (fractional)
Rb  0.0000  0.0000  0.0000  12 Te 4.12-4.22
Rb  0.0009  0.8091  0.3821  6 Te 3.79-4.01
Rb  0.9991  0.1909  0.6179  6 Te 3.79-4.01
Pa  0.5002  0.3925  0.2148  6 Te 2.93-2.99
Pa  0.4998  0.6075  0.7852  6 Te 2.93-2.99
Te  0.0002  0.3976  0.2042  2 Pa 2.98
Te  0.9998  0.6024  0.7958  2 Pa 2.98
Te  0.4994  0.1070  0.7862  2 Pa 2.99
Te  0.4993  0.2878  0.4251  1 Pa 2.93
Te  0.5000  0.5000  0.0000  2 Pa 2.99
Te  0.5007  0.7122  0.5749  1 Pa 2.93
Te  0.5006  0.8930  0.2138  2 Pa 2.99

Results
theoretical density	5.40	g/cm³
N(E_F)	0.38	states/eV per atom

Verdict on stability: #i comes out at the bottom.

#i
PaRe2: relaxed, PBE.

abc: 3.0299 3.0299 12.1140
angles: 90.00 90.00 90.00
Last column: nearest neighbours and their distance in Å.
Element x y z (fractional)
Pa  0.0000  0.0000  0.0000  4 Pa 3.03, 8 Re 3.14
Pa  0.5000  0.5000  0.5000  4 Pa 3.03, 8 Re 3.14
Re  0.0000  0.0000  0.3107  4 Re 2.60
Re  0.0000  0.0000  0.6893  4 Re 2.60
Re  0.5000  0.5000  0.1893  4 Re 2.60
Re  0.5000  0.5000  0.8107  4 Re 2.60

Results
theoretical density	18.02	g/cm³
N(E_F)	1.40	states/eV per atom

#ii
PaRe2: relaxed, PBE.

abc: 5.4265 5.4265 5.4265
angles: 60.00 60.00 60.00
Last column: nearest neighbours and their distance in Å.
Element x y z (fractional)
Pa  0.1250  0.1250  0.1250  12 Re 3.18, 4 Pa 3.32
Pa  0.8750  0.8750  0.8750  12 Re 3.18, 4 Pa 3.32
Re  0.0000  0.5000  0.5000  6 Re 2.71
Re  0.5000  0.0000  0.5000  6 Re 2.71
Re  0.5000  0.5000  0.0000  6 Re 2.71
Re  0.5000  0.5000  0.5000  6 Re 2.71

Results
theoretical density	17.74	g/cm³
N(E_F)	1.50	states/eV per atom

Verdict on stability: #i comes out at the bottom.

#i
Pa3Re: relaxed, PBE.

abc: 3.1629 5.1034 5.4386
angles: 90.00 90.00 90.00
Last column: nearest neighbours and their distance in Å.
Element x y z (fractional)
Pa  0.0000  0.0000  0.0000  4 Pa 2.85-3.16, 2 Re 3.05
Pa  0.0000  0.5000  0.2326  6 Pa 2.85-3.16
Pa  0.5000  0.5000  0.7106  2 Re 2.75, 2 Pa 3.04
Re  0.5000  0.0000  0.5210  4 Pa 2.75-3.05

Results
theoretical density	16.63	g/cm³
N(E_F)	1.54	states/eV per atom

#ii
Pa3Re: relaxed, PBE.

abc: 7.0642 7.0642 7.0642
angles: 90.00 90.00 90.00
Last column: nearest neighbours and their distance in Å.
Element x y z (fractional)
Pa  0.0000  0.0000  0.0000  8 Pa 3.06
Pa  0.0000  0.5000  0.5000  8 Pa 3.06
Pa  0.2500  0.2500  0.2500  4 Pa 3.06, 4 Re 3.06
Pa  0.2500  0.2500  0.7500  4 Pa 3.06, 4 Re 3.06
Pa  0.2500  0.7500  0.2500  4 Pa 3.06, 4 Re 3.06
Pa  0.2500  0.7500  0.7500  4 Pa 3.06, 4 Re 3.06
Pa  0.5000  0.0000  0.5000  8 Pa 3.06
Pa  0.5000  0.5000  0.0000  8 Pa 3.06
Pa  0.7500  0.2500  0.2500  4 Pa 3.06, 4 Re 3.06
Pa  0.7500  0.2500  0.7500  4 Pa 3.06, 4 Re 3.06
Pa  0.7500  0.7500  0.2500  4 Pa 3.06, 4 Re 3.06
Pa  0.7500  0.7500  0.7500  4 Pa 3.06, 4 Re 3.06
Re  0.0000  0.0000  0.5000  8 Pa 3.06
Re  0.0000  0.5000  0.0000  8 Pa 3.06
Re  0.5000  0.0000  0.0000  8 Pa 3.06
Re  0.5000  0.5000  0.5000  8 Pa 3.06

Results
theoretical density	16.57	g/cm³
N(E_F)	3.34	states/eV per atom

#iii
Pa3Re: relaxed, PBE.

abc: 3.3058 10.1124 5.5105
angles: 90.00 90.00 90.00
Last column: nearest neighbours and their distance in Å.
Element x y z (fractional)
Pa  0.0000  0.0000  0.0000  2 Re 2.84, 2 Pa 2.98
Pa  0.0000  0.2061  0.3877  2 Re 2.86, 1 Pa 2.98
Pa  0.0000  0.7939  0.3877  2 Re 2.86, 1 Pa 2.98
Pa  0.5000  0.2939  0.8877  2 Re 2.86, 1 Pa 2.98
Pa  0.5000  0.5000  0.5000  2 Re 2.84, 2 Pa 2.98
Pa  0.5000  0.7061  0.8877  2 Re 2.86, 1 Pa 2.98
Re  0.0000  0.5000  0.0806  6 Pa 2.84-2.86
Re  0.5000  0.0000  0.5806  6 Pa 2.84-2.86

Results
theoretical density	15.85	g/cm³
N(E_F)	1.79	states/eV per atom

#iv
Pa3Re: relaxed, PBE.

abc: 6.4268 3.5986 8.2882
angles: 90.00 99.34 90.00
Last column: nearest neighbours and their distance in Å.
Element x y z (fractional)
Pa  0.0716  0.2500  0.3454  2 Re 2.86, 1 Pa 3.02
Pa  0.2203  0.2500  0.9428  2 Re 2.80
Pa  0.3882  0.7500  0.6192  2 Re 2.79, 1 Pa 3.02
Pa  0.6118  0.2500  0.3808  2 Re 2.79, 1 Pa 3.02
Pa  0.7797  0.7500  0.0572  2 Re 2.80
Pa  0.9284  0.7500  0.6546  2 Re 2.86, 1 Pa 3.02
Re  0.3338  0.7500  0.2014  6 Pa 2.79-2.86
Re  0.6662  0.2500  0.7986  6 Pa 2.79-2.86

Results
theoretical density	15.44	g/cm³
N(E_F)	1.50	states/eV per atom

Verdict on stability: #ii comes out at the bottom.

#i
Pa3Re: relaxed, PBE.

abc: 4.1930 4.1930 10.1076
angles: 90.00 90.00 90.00
Last column: nearest neighbours and their distance in Å.
Element x y z (fractional)
Pa  0.0000  0.0000  0.0000  4 Re 2.96, 8 Pa 3.28
Pa  0.0000  0.5000  0.2500  8 Pa 2.96-3.28, 4 Re 3.28
Pa  0.0000  0.5000  0.7500  8 Pa 2.96-3.28, 4 Re 3.28
Pa  0.5000  0.0000  0.2500  8 Pa 2.96-3.28, 4 Re 3.28
Pa  0.5000  0.0000  0.7500  8 Pa 2.96-3.28, 4 Re 3.28
Pa  0.5000  0.5000  0.5000  4 Re 2.96, 8 Pa 3.28
Re  0.0000  0.0000  0.5000  12 Pa 2.96-3.28
Re  0.5000  0.5000  0.0000  12 Pa 2.96-3.28

Results
theoretical density	16.43	g/cm³
N(E_F)	2.20	states/eV per atom

#ii
Pa3Re: relaxed, PBE.

abc: 6.1992 6.1992 5.4000
angles: 90.00 90.00 120.00
Last column: nearest neighbours and their distance in Å.
Element x y z (fractional)
Pa  0.1767  0.3535  0.2500  2 Pa 2.91, 4 Re 3.10-3.18
Pa  0.1767  0.8233  0.2500  2 Pa 2.91, 4 Re 3.10-3.18
Pa  0.3535  0.1767  0.7500  2 Pa 2.91, 4 Re 3.10-3.18
Pa  0.6465  0.8233  0.2500  2 Pa 2.91, 4 Re 3.10-3.18
Pa  0.8233  0.1767  0.7500  2 Pa 2.91, 4 Re 3.10-3.18
Pa  0.8233  0.6465  0.7500  2 Pa 2.91, 4 Re 3.10-3.18
Re  0.3333  0.6667  0.7500  12 Pa 3.10-3.18
Re  0.6667  0.3333  0.2500  12 Pa 3.10-3.18

Results
theoretical density	16.25	g/cm³
N(E_F)	1.98	states/eV per atom

Verdict on stability: #ii comes out at the bottom.

#i
PaRe3: relaxed, PBE.

abc: 3.7519 3.7519 11.2900
angles: 90.00 90.00 90.00
Last column: nearest neighbours and their distance in Å.
Element x y z (fractional)
Pa  0.0000  0.0000  0.0000  4 Re 2.65
Pa  0.5000  0.5000  0.5000  4 Re 2.65
Re  0.0000  0.0000  0.2776  5 Re 2.51-2.73
Re  0.0000  0.0000  0.5000  2 Re 2.51, 4 Pa 2.65
Re  0.0000  0.0000  0.7224  5 Re 2.51-2.73
Re  0.5000  0.5000  0.0000  2 Re 2.51, 4 Pa 2.65
Re  0.5000  0.5000  0.2224  5 Re 2.51-2.73
Re  0.5000  0.5000  0.7776  5 Re 2.51-2.73

Results
theoretical density	16.50	g/cm³
N(E_F)	1.07	states/eV per atom

#ii
PaRe3: relaxed, PBE.

abc: 4.3134 4.3134 7.4544
angles: 90.00 90.00 90.00
Last column: nearest neighbours and their distance in Å.
Element x y z (fractional)
Pa  0.0000  0.0000  0.0000  12 Re 2.85-3.05
Pa  0.5000  0.5000  0.5000  12 Re 2.85-3.05
Re  0.0000  0.0000  0.5000  8 Re 2.85, 4 Pa 3.05
Re  0.0000  0.5000  0.2500  4 Pa 2.85, 8 Re 2.85-3.05
Re  0.0000  0.5000  0.7500  8 Re 2.85-3.05, 4 Pa 2.85
Re  0.5000  0.0000  0.2500  4 Pa 2.85, 8 Re 2.85-3.05
Re  0.5000  0.0000  0.7500  8 Re 2.85-3.05, 4 Pa 2.85
Re  0.5000  0.5000  0.0000  8 Re 2.85, 4 Pa 3.05

Results
theoretical density	18.91	g/cm³
N(E_F)	1.22	states/eV per atom

Verdict on stability: #i comes out at the bottom.

#i
PaRe3: relaxed, PBE.

abc: 3.0071 4.5023 5.1054
angles: 90.00 90.00 90.00
Last column: nearest neighbours and their distance in Å.
Element x y z (fractional)
Pa  0.0000  0.0000  0.0000  10 Re 2.85-2.98, 2 Pa 3.01
Re  0.0000  0.5000  0.6439  10 Re 2.80-3.09, 2 Pa 2.89
Re  0.5000  0.0000  0.5031  8 Re 2.80-3.01, 4 Pa 2.95-2.98
Re  0.5000  0.5000  0.1724  8 Re 2.81-3.09, 4 Pa 2.85

Results
theoretical density	18.97	g/cm³
N(E_F)	0.91	states/eV per atom

#ii
PaRe3: relaxed, PBE.

abc: 4.1245 4.1245 4.1245
angles: 90.00 90.00 90.00
Last column: nearest neighbours and their distance in Å.
Element x y z (fractional)
Pa  0.0000  0.0000  0.0000  12 Re 2.92
Re  0.0000  0.5000  0.5000  4 Pa 2.92, 8 Re 2.92
Re  0.5000  0.0000  0.5000  4 Pa 2.92, 8 Re 2.92
Re  0.5000  0.5000  0.0000  4 Pa 2.92, 8 Re 2.92

Results
theoretical density	18.69	g/cm³
N(E_F)	2.51	states/eV per atom

Verdict on stability: #ii comes out at the bottom.